# 1
5
Lattice="6.5414 0.0000 0.0000 0.0000 6.5414 0.0000 0.0000 0.0000 5.0244" Properties=species:S:1:pos:R:3 comment="K2MgHgAs, relaxed, DFT PBE" e_form_mev_per_atom=-233 spacegroup="P4/mmm (123)" mass_density_g_cm3=2.9 magmom_total_mub_per_fu=0.00 pbc="T T T"
K 0.0000 3.2707 0.0000
K 3.2707 0.0000 0.0000
Mg 0.0000 0.0000 2.5122
Hg 3.2707 3.2707 2.5122
As 0.0000 0.0000 0.0000

# 2
5
Lattice="6.4431 0.0000 0.0000 0.0000 6.4431 0.0000 0.0000 0.0000 5.5626" Properties=species:S:1:pos:R:3 comment="K2NaHgAs, relaxed, DFT PBE" e_form_mev_per_atom=-239 spacegroup="P4/mmm (123)" mass_density_g_cm3=2.7 magmom_total_mub_per_fu=0.00 pbc="T T T"
K 0.0000 3.2215 0.0000
K 3.2215 0.0000 0.0000
Na 0.0000 0.0000 2.7813
Hg 3.2215 3.2215 2.7813
As 0.0000 0.0000 0.0000

# 3
8
Lattice="-3.2443 3.2443 3.6750 3.2443 -3.2443 3.6750 3.2443 3.2443 -3.6750" Properties=species:S:1:pos:R:3 comment="K2HgAsO4, relaxed, DFT PBE" spacegroup="I-4 (82)" raw_formation_energy_ev_per_atom=-1.260 mass_density_g_cm3=4.5 magmom_total_mub_per_fu=0.00 pbc="T T T"
K 0.0000 0.0000 0.0000
K 0.0000 3.2443 1.8375
Hg 0.0000 0.0000 3.6750
As 3.2443 0.0000 1.8375
O 1.0556 2.2753 -0.8476
O 4.2132 1.0556 0.8476
O 2.1887 0.9690 2.8274
O -0.9690 2.1887 4.5226

# 4
20
Lattice="6.4787 0.0000 0.0000 2.2075 7.3765 0.0000 2.4052 0.1323 7.4575" Properties=species:S:1:pos:R:3 comment="KHgAs2O6, relaxed, DFT PBE" spacegroup="P-1 (2)" raw_formation_energy_ev_per_atom=-1.096 mass_density_g_cm3=4.5 magmom_total_mub_per_fu=0.00 pbc="T T T"
K 2.7567 3.0084 1.0324
K 8.3346 4.5004 6.4251
Hg 5.0605 5.7823 5.3362
Hg 6.0308 1.7264 2.1213
As 3.6522 6.4539 1.5512
As 4.2409 2.0252 4.8839
As 6.8504 5.4835 2.5736
As 7.4391 1.0548 5.9062
O 2.1918 1.5833 4.7832
O 1.1764 0.7526 1.1507
O 4.3185 3.4346 5.8430
O 3.8126 5.4828 0.1814
O 5.1359 6.4072 2.5403
O 4.3470 2.4457 3.1768
O 6.7443 5.0631 4.2806
O 5.9554 1.1015 4.9171
O 7.2787 2.0260 7.2761
O 6.7728 4.0742 1.6145
O 9.9149 6.7561 6.3067
O 8.8995 5.9255 2.6743

Q: What is the formula in the second record?
A: K2NaHgAs